[1]
Here is KInHg3 after structural relaxation from Alexandria via LeMat-Bulk. Energies are from GGA-PBE.

```
data_KInHg3
_space_group_name_H-M_alt 'P 1'
_space_group_IT_number 1
_cell_length_a 5.546
_cell_length_b 5.546
_cell_length_c 10.399
_cell_angle_alpha 90.00
_cell_angle_beta 90.00
_cell_angle_gamma 90.00
loop_
_space_group_symop_operation_xyz
'x,y,z'
loop_
_atom_site_label
_atom_site_type_symbol
_atom_site_fract_x
_atom_site_fract_y
_atom_site_fract_z
K1 K 0.000 0.000 0.000
K2 K 0.500 0.500 0.500
In1 In 0.000 0.000 0.358
In2 In 0.500 0.500 0.858
Hg1 Hg 0.000 0.000 0.637
Hg2 Hg 0.000 0.500 0.260
Hg3 Hg 0.000 0.500 0.760
Hg4 Hg 0.500 0.000 0.260
Hg5 Hg 0.500 0.000 0.760
Hg6 Hg 0.500 0.500 0.137
```

Computed properties:
E_form = -79 kJ/mol of formula units
Total magnetization = 0.0 μB per cell
E above lowest polymorph = 0 meV/atom
Electronic total energy = -1.113 eV per atom
Space group = I4mm



[2]
Here is NpSb3Pt12 after structural relaxation from Alexandria via LeMat-Bulk. Energies are from GGA-PBE.

```
data_NpSb3Pt12
_space_group_name_H-M_alt 'P 1'
_space_group_IT_number 1
_cell_length_a 4.134
_cell_length_b 4.134
_cell_length_c 16.214
_cell_angle_alpha 90.00
_cell_angle_beta 90.00
_cell_angle_gamma 90.00
loop_
_space_group_symop_operation_xyz
'x,y,z'
loop_
_atom_site_label
_atom_site_type_symbol
_atom_site_fract_x
_atom_site_fract_y
_atom_site_fract_z
Np1 Np 0.000 0.000 0.000
Sb1 Sb 0.000 0.000 0.253
Sb2 Sb 0.000 0.000 0.500
Sb3 Sb 0.000 0.000 0.747
Pt1 Pt 0.000 0.500 0.127
Pt2 Pt 0.000 0.500 0.376
Pt3 Pt 0.000 0.500 0.624
Pt4 Pt 0.000 0.500 0.873
Pt5 Pt 0.500 0.000 0.127
Pt6 Pt 0.500 0.000 0.376
Pt7 Pt 0.500 0.000 0.624
Pt8 Pt 0.500 0.000 0.873
Pt9 Pt 0.500 0.500 0.000
Pt10 Pt 0.500 0.500 0.253
Pt11 Pt 0.500 0.500 0.500
Pt12 Pt 0.500 0.500 0.747
```

Computed properties:
Total magnetization = 3.4 μB per cell
Electronic total energy = -6.369 eV per atom
Space group = P4/mmm



[3]
Here is MgAlBr2 after structural relaxation from Alexandria via LeMat-Bulk. Energies are from GGA-PBE.

```
data_MgAlBr2
_space_group_name_H-M_alt 'P 1'
_space_group_IT_number 1
_cell_length_a 7.462
_cell_length_b 8.712
_cell_length_c 3.765
_cell_angle_alpha 90.00
_cell_angle_beta 119.28
_cell_angle_gamma 90.00
loop_
_space_group_symop_operation_xyz
'x,y,z'
loop_
_atom_site_label
_atom_site_type_symbol
_atom_site_fract_x
_atom_site_fract_y
_atom_site_fract_z
Mg1 Mg 0.000 0.000 0.000
Mg2 Mg 0.500 0.500 0.000
Al1 Al 0.000 0.500 0.000
Al2 Al 0.500 0.000 0.000
Br1 Br 0.250 0.250 0.500
Br2 Br 0.250 0.750 0.500
Br3 Br 0.750 0.250 0.500
Br4 Br 0.750 0.750 0.500
```

Computed properties:
Total magnetization = 0.0 μB per cell
E above lowest polymorph = 342 meV/atom
Electronic total energy = -2.467 eV per atom
Space group = C2/m



> Look up the total magnetization of the third one.

0.0 μB per cell



> What is the formula in the first record?

KInHg3



> electronic total energy of number 2 (NpSb3Pt12)?

-6.369 eV per atom